# 1
Compound: Ba2YW
Source: Alexandria via LeMat-Bulk
Functional: GGA-PBE
Structure: relaxed

Computed properties:
Total magnetic moment   7.30 μB per cell
D(E_F)   0.942 states/eV/atom
Formation energy from the elements   1.22 eV/atom
Relative energy among the computed polymorphs   45.7 kJ per mole of atoms

Cell lengths 8.1421, 8.1421, 8.1421 Å; angles 90.00, 90.00, 90.00 degrees
Closest atoms and distances in Å follow each position.
Space group Fm-3m (No. 225)
Asymmetric unit:
Ba (0.2500, 0.2500, 0.2500)  4 Y 3.53, 4 W 3.53
Y (0.0000, 0.0000, 0.0000)  8 Ba 3.53
W (0.0000, 0.0000, 0.5000)  8 Ba 3.53



# 2
Compound: ScTcSe2
Source: Alexandria via LeMat-Bulk
Functional: GGA-PBE
Structure: relaxed

Computed properties:
Total magnetic moment   12.00 μB per cell
D(E_F)   0.241 states/eV/atom
Uncorrected formation energy   -113 kJ/mol of formula units
Relative energy among the computed polymorphs   39.1 kJ per mole of atoms

Cell lengths 3.8141, 3.8141, 24.3114 Å; angles 90.00, 90.00, 120.00 degrees
Closest atoms and distances in Å follow each position.
Space group R-3m (No. 166, hexagonal axes)
Asymmetric unit:
Sc (0.0000, 0.0000, 0.0000)  6 Se 2.69
Tc (0.0000, 0.0000, 0.5000)  2 Se 2.51
Se (0.0000, 0.0000, 0.3968)  1 Tc 2.51, 3 Sc 2.69



# 3
Compound: RbAg2Cl4
Source: Alexandria via LeMat-Bulk
Functional: GGA-PBE
Structure: relaxed

Computed properties:
Total magnetic moment   0.00 μB per cell
D(E_F)   1.522 states/eV/atom
Uncorrected formation energy   -481 kJ/mol of formula units
Relative energy among the computed polymorphs   5.6 kJ per mole of atoms

Cell lengths 8.9529, 8.9529, 5.9675 Å; angles 90.00, 90.00, 90.00 degrees
Closest atoms and distances in Å follow each position.
Space group I4/mmm (No. 139)
Asymmetric unit:
Rb (0.0000, 0.0000, 0.0000)  8 Cl 3.84
Ag (0.0000, 0.5000, 0.2500)  4 Cl 2.55
Cl (0.0000, 0.2695, 0.5000)  2 Ag 2.55



# 4
Compound: La2Sm7
Source: Alexandria via LeMat-Bulk
Functional: GGA-PBE
Structure: relaxed

Computed properties:
Total magnetic moment   0.00 μB per cell
D(E_F)   1.483 states/eV/atom
Formation energy from the elements   0.02 eV/atom

Cell lengths 6.3426, 6.3426, 8.9304 Å; angles 90.00, 90.00, 120.00 degrees
Closest atoms and distances in Å follow each position.
Space group P-31m (No. 162)
Asymmetric unit:
La (0.3333, 0.6667, 0.0000)  9 Sm 3.66-3.67, 3 La 3.66
Sm (0.0000, 0.0000, 0.0000)  6 La 3.66, 6 Sm 3.67
Sm (0.0000, 0.3320, 0.6639)  10 Sm 3.61-3.67, 2 La 3.67



# 5
Compound: FeCuI3
Source: Alexandria via LeMat-Bulk
Functional: GGA-PBE
Structure: relaxed

Computed properties:
Total magnetic moment   3.62 μB per cell
D(E_F)   1.161 states/eV/atom
Uncorrected formation energy   262 kJ/mol of formula units
Relative energy among the computed polymorphs   59.5 kJ per mole of atoms

Cell lengths 5.4705, 5.4705, 5.4705 Å; angles 90.00, 90.00, 90.00 degrees
Closest atoms and distances in Å follow each position.
Space group Pm-3m (No. 221)
Asymmetric unit:
Fe (0.0000, 0.0000, 0.0000)  6 I 2.74
Cu (0.5000, 0.5000, 0.5000)  12 I 3.87
I (0.0000, 0.0000, 0.5000)  2 Fe 2.74



# 6
Compound: SiHgCl
Source: Alexandria via LeMat-Bulk
Functional: GGA-PBE
Structure: relaxed

Computed properties:
Total magnetic moment   0.00 μB per cell
D(E_F)   0.398 states/eV/atom
Uncorrected formation energy   36 kJ/mol of formula units
Relative energy among the computed polymorphs   27.0 kJ per mole of atoms

Cell lengths 3.1454, 5.7761, 15.8525 Å; angles 90.00, 90.00, 90.00 degrees
Closest atoms and distances in Å follow each position.
Space group Fmm2 (No. 42)
Asymmetric unit:
Si (0.0000, 0.0000, 0.0000)  2 Cl 2.41
Hg (0.0000, 0.0000, 0.6694)  2 Si 3.11, 6 Hg 3.15-3.29
Cl (0.0000, 0.0000, 0.3847)  2 Si 2.41